The following is a DFT calculation (PBE-GGA) of an optimized crystal structure of LaPmNi.

a = 7.4269 Å, b = 6.9619 Å, c = 7.1331 Å
α = 90.00°, β = 113.09°, γ = 90.00°
Last column: nearest neighbours and their distance in Å.
Space group P2_1/c (No. 14)
Inequivalent atoms, fractional coordinates:
La  0.1954  0.1866  0.0763 x4  4 Ni 2.82-3.01
Pm  0.3017  0.6828  0.0111 x4  3 Ni 2.89-2.94
Ni  0.0490  0.5454  0.2045 x4  1 Ni 2.79, 4 La 2.82-3.01, 3 Pm 2.89-2.94

Values from the calculation:
The relative energy among the computed polymorphs is 0.006 eV per atom. As for the energy relative to the elements: -0.155 eV per atom. The energy comes out at -63.7 eV per cell. The value obtained for the calculated volume is 28.27 Å³/atom. The spin magnetization is 0.0000 μB per atom.